Record 1
VASP calculation (PBE) on a relaxed SmZrC crystal.

a b c (Å): 6.011 3.469 3.469
angles (deg): 120.00 90.00 90.00
Last column: magnetic moment on the atom in μB.
Atoms (fractional coordinates):
Zr 0.125 0.000 0.000  0.19
Sm 0.570 0.667 0.333  0.05
C 0.306 0.333 0.667  -0.01

Properties
* energy of formation from the pure elements: -0.29 eV per atom
* Fermi-level density of states: 0.89 states/eV/atom
* magnetization: 0.492 μB per formula unit
* space group: P3m1 (156)
* mass density: 6.72 g cm⁻³

***

Record 2
VASP calculation (PBE) on a relaxed SnC crystal.

a b c (Å): 9.925 9.925 3.705
angles (deg): 90.00 90.00 90.00
Atoms (fractional coordinates):
C 0.390 0.768 0.500
C 0.381 0.109 0.000
C 0.109 0.619 0.000
C 0.232 0.390 0.500
C 0.619 0.891 0.000
C 0.610 0.232 0.500
C 0.768 0.610 0.500
C 0.891 0.381 0.000
Sn 0.374 0.224 0.500
Sn 0.612 0.110 0.000
Sn 0.890 0.612 0.000
Sn 0.110 0.388 0.000
Sn 0.776 0.374 0.500
Sn 0.224 0.626 0.500
Sn 0.626 0.776 0.500
Sn 0.388 0.890 0.000

Properties
* energy of formation from the pure elements: 1.15 eV per atom
* magnetization: 0.000 μB per formula unit
* space group: P4/m (83)
* polymorph energy (0 for the lowest one): 338 meV/atom
* mass density: 4.76 g cm⁻³